{"formula": "Ho6CdTc2", "functional": "PBE-GGA", "state": "relaxed", "lattice": [[-4.757, 4.759, 5.148], [4.757, -4.759, 5.148], [4.757, 4.759, -5.148]], "species": ["Tc", "Ho", "Ho", "Ho", "Cd", "Ho", "Ho", "Ho", "Ho", "Tc", "Ho", "Ho", "Ho", "Ho", "Ho", "Cd", "Tc", "Tc"], "fractional_positions": [[0.116, 0.616, 0.500], [0.316, 0.022, 0.706], [0.447, 0.235, 0.212], [0.684, 0.390, 0.706], [0.500, 0.500, 0.000], [0.684, 0.978, 0.294], [0.810, 0.717, 0.527], [0.977, 0.765, 0.212], [0.316, 0.610, 0.294], [0.630, 0.000, 0.630], [0.023, 0.235, 0.788], [0.810, 0.283, 0.093], [0.190, 0.717, 0.907], [0.190, 0.283, 0.473], [0.553, 0.765, 0.788], [0.000, 0.000, 0.000], [0.884, 0.384, 0.500], [0.370, 0.000, 0.370]], "e_form_ev_per_atom": -0.144, "rho_g_cm3": 9.25, "energy_ha_per_atom": -0.2057}



{"formula": "Ga2Ag2Ge", "functional": "PBE-GGA", "state": "relaxed", "lattice": [[-1.974, 1.974, 6.229], [1.974, -1.974, 6.229], [1.974, 1.974, -6.229]], "species": ["Ga", "Ge", "Ga", "Ag", "Ag"], "fractional_positions": [[0.402, 0.402, 0.000], [0.000, 0.000, 0.000], [0.598, 0.598, 0.000], [0.750, 0.250, 0.500], [0.250, 0.750, 0.500]], "rho_g_cm3": 7.31, "energy_ha_per_atom": -0.1138}



{"formula": "GeW3CN", "functional": "PBE-GGA", "state": "relaxed", "lattice": [[3.124, 0.000, 0.000], [-1.562, 2.705, 0.000], [0.000, 0.000, 17.608]], "species": ["N", "W", "W", "Ge", "C", "W", "W", "W", "C", "N", "W", "Ge"], "fractional_positions": [[0.333, 0.667, 0.931], [0.667, 0.333, 0.864], [0.000, 0.000, 0.500], [0.000, 0.000, 0.248], [0.667, 0.333, 0.427], [0.000, 0.000, 0.000], [0.667, 0.333, 0.636], [0.333, 0.667, 0.364], [0.333, 0.667, 0.573], [0.667, 0.333, 0.069], [0.333, 0.667, 0.136], [0.000, 0.000, 0.752]], "rho_g_cm3": 14.51, "energy_ha_per_atom": -0.3633}



{"formula": "TbNdAsO", "functional": "PBE-GGA", "state": "relaxed", "lattice": [[4.198, 0.000, 0.000], [0.000, 8.030, 0.000], [0.000, 0.000, 5.742]], "species": ["As", "O", "Nd", "Nd", "O", "Tb", "As", "Tb"], "fractional_positions": [[0.000, 0.144, 0.935], [0.500, 0.325, 0.397], [0.500, 0.378, 0.982], [0.500, 0.622, 0.482], [0.500, 0.675, 0.897], [0.000, 0.210, 0.439], [0.000, 0.856, 0.435], [0.000, 0.790, 0.939]], "polymorph_energy_mev_per_atom": 47, "rho_g_cm3": 6.76, "energy_ha_per_atom": -0.2448}



{"formula": "Ag2ICl", "functional": "PBE-GGA", "state": "relaxed", "lattice": [[-3.156, 3.156, 6.389], [3.156, -3.156, 6.389], [3.156, 3.156, -6.389]], "species": ["I", "Ag", "I", "Ag", "Ag", "Cl", "Ag", "Cl"], "fractional_positions": [[0.500, 0.500, 0.000], [0.875, 0.350, 0.975], [0.250, 0.750, 0.500], [0.650, 0.625, 0.525], [0.375, 0.900, 0.025], [0.750, 0.250, 0.500], [0.100, 0.125, 0.475], [0.000, 0.000, 0.000]], "polymorph_energy_mev_per_atom": 0, "rho_g_cm3": 4.93, "energy_ha_per_atom": -0.0963}



{"formula": "ErCuSi2Tc", "functional": "PBE-GGA", "state": "relaxed", "lattice": [[-1.993, 1.993, 5.101], [1.993, -1.993, 5.101], [1.993, 1.993, -5.101]], "species": ["Si", "Tc", "Er", "Cu", "Si"], "fractional_positions": [[0.632, 0.132, 0.500], [0.500, 0.500, 0.000], [0.250, 0.750, 0.500], [0.000, 0.000, 0.000], [0.868, 0.368, 0.500]], "rho_g_cm3": 7.89, "energy_ha_per_atom": -0.2375}